1.
The following is a DFT calculation (PBE) of Cu2RhW2 after structural relaxation.

Results
Distance to the lowest polymorph of the same formula: 0.076 eV/atom
Symmetry: I4/mmm (139)
Total moment: 0.0 μB per formula unit

Unit cell a=3.3664 b=3.3664 c=7.2247 alpha=76.53 beta=76.53 gamma=90.00
With the nearest neighbours (Å) after each atom.
Fractional coordinates of all 5 atoms:
W: 0.5916 0.5916 0.8169  1 W 2.50, 4 Rh 2.69, 4 Cu 2.74
W: 0.4084 0.4084 0.1831  1 W 2.50, 4 Rh 2.69, 4 Cu 2.74
Cu: 0.2500 0.7500 0.5000  4 Cu 2.38
Cu: 0.7500 0.2500 0.5000  4 Cu 2.38
Rh: 0.0000 0.0000 0.0000  8 W 2.69


2.
The following is a DFT calculation (PBE) of Cu2RhW2 after structural relaxation.

Results
Distance to the lowest polymorph of the same formula: 0.000 eV/atom
Symmetry: P4/mbm (127)
Total moment: 0.6 μB per formula unit

Unit cell a=7.5064 b=7.5064 c=2.6668 alpha=90.00 beta=90.00 gamma=90.00
With the nearest neighbours (Å) after each atom.
Fractional coordinates of all 10 atoms:
Cu: 0.3273 0.1727 0.5000  6 W 2.54-2.62, 2 Cu 2.67
Cu: 0.6727 0.8273 0.5000  6 W 2.54-2.62, 2 Cu 2.67
Cu: 0.1727 0.6727 0.5000  6 W 2.54-2.62, 2 Cu 2.67
Cu: 0.8273 0.3273 0.5000  6 W 2.54-2.62, 2 Cu 2.67
W: 0.3767 0.8767 0.0000  6 Cu 2.54-2.62, 3 W 2.62-2.67
W: 0.8767 0.6233 0.0000  6 Cu 2.54-2.62, 3 W 2.62-2.67
W: 0.1233 0.3767 0.0000  6 Cu 2.54-2.62, 3 W 2.62-2.67
W: 0.6233 0.1233 0.0000  6 Cu 2.54-2.62, 3 W 2.62-2.67
Rh: 0.5000 0.5000 0.0000  2 Rh 2.67, 4 W 2.98
Rh: 0.0000 0.0000 0.0000  2 Rh 2.67, 4 W 2.98


3.
The following is a DFT calculation (PBE) of Cu2RhW after structural relaxation.

Results
Distance to the lowest polymorph of the same formula: 0.000 eV/atom
Symmetry: P4mm (99)
Total moment: 0.0 μB per formula unit

Unit cell a=2.7832 b=2.7832 c=7.0525 alpha=90.00 beta=90.00 gamma=90.01
With the nearest neighbours (Å) after each atom.
Fractional coordinates of all 4 atoms:
Cu: 0.5000 0.5000 0.2375  8 Cu 2.51-2.78, 4 Rh 2.67
Cu: 0.0000 0.0000 0.0174  8 Cu 2.51-2.78, 4 W 2.72
Rh: 0.0000 0.0000 0.4931  4 Cu 2.67, 4 W 2.68, 4 Rh 2.78
W: 0.5000 0.5000 0.7520  4 Rh 2.68, 4 Cu 2.72, 4 W 2.78


4.
The following is a DFT calculation (PBE) of Cu2RhW after structural relaxation.

Results
Distance to the lowest polymorph of the same formula: 0.289 eV/atom
Symmetry: P4/mmm (123)
Total moment: 0.0 μB per formula unit

Unit cell a=4.3582 b=4.3582 c=2.8581 alpha=90.00 beta=90.00 gamma=90.00
With the nearest neighbours (Å) after each atom.
Fractional coordinates of all 4 atoms:
Rh: 0.5000 0.0000 0.5000  8 Cu 2.61, 2 Rh 2.86
W: 0.0000 0.5000 0.5000  8 Cu 2.61, 2 W 2.86
Cu: 0.5000 0.5000 0.0000  4 W 2.61, 4 Rh 2.61, 2 Cu 2.86
Cu: 0.0000 0.0000 0.0000  4 W 2.61, 4 Rh 2.61, 2 Cu 2.86


5.
The following is a DFT calculation (PBE) of Cu2RhW after structural relaxation.

Results
Distance to the lowest polymorph of the same formula: 0.159 eV/atom
Symmetry: F-43m (216)
Total moment: 0.0 μB per formula unit

Unit cell a=4.2726 b=4.2726 c=4.2726 alpha=60.00 beta=60.00 gamma=60.00
With the nearest neighbours (Å) after each atom.
Fractional coordinates of all 4 atoms:
Cu: 0.2500 0.2500 0.2500  4 Rh 2.62, 4 Cu 2.62
Cu: 0.0000 0.0000 0.0000  4 W 2.62, 4 Cu 2.62
W: 0.7500 0.7500 0.7500  4 Rh 2.62, 4 Cu 2.62
Rh: 0.5000 0.5000 0.5000  4 W 2.62, 4 Cu 2.62


6.
The following is a DFT calculation (PBE) of YCu2Rh after structural relaxation.

Results
Distance to the lowest polymorph of the same formula: 0.036 eV/atom
Symmetry: R3m (160)
Total moment: 0.0 μB per formula unit

Unit cell a=5.1745 b=5.1745 c=5.1745 alpha=48.23 beta=48.23 gamma=48.23
With the nearest neighbours (Å) after each atom.
Fractional coordinates of all 4 atoms:
Rh: 0.5395 0.5395 0.5395  6 Cu 2.54-2.68
Cu: 0.2582 0.2582 0.2582  3 Cu 2.47, 3 Rh 2.54
Cu: 0.9530 0.9530 0.9530  3 Cu 2.47, 3 Rh 2.68
Y: 0.7494 0.7494 0.7494  4 Cu 2.79-3.02, 4 Rh 2.87-2.97


7.
The following is a DFT calculation (PBE) of YCu2Rh after structural relaxation.

Results
Distance to the lowest polymorph of the same formula: 0.720 eV/atom
Symmetry: R-3m (166)
Total moment: 0.6 μB per formula unit

Unit cell a=9.0890 b=9.0890 c=9.0890 alpha=18.70 beta=18.70 gamma=18.70
With the nearest neighbours (Å) after each atom.
Fractional coordinates of all 4 atoms:
Cu: 0.5082 0.5082 0.5082  3 Rh 2.64
Cu: 0.9918 0.9918 0.9918  3 Rh 2.64
Y: 0.7500 0.7500 0.7500  6 Y 2.95, 6 Cu 2.99
Rh: 0.2500 0.2500 0.2500  6 Cu 2.64


8.
The following is a DFT calculation (PBE) of YCu2Rh4 after structural relaxation.

Results
Symmetry: C2/m (12)
Total moment: 0.9 μB per formula unit

Unit cell a=4.9716 b=5.3120 c=5.3121 alpha=77.34 beta=62.17 gamma=62.17
With the nearest neighbours (Å) after each atom.
Fractional coordinates of all 7 atoms:
Cu: 0.7503 0.4998 0.4998  2 Cu 2.49, 8 Rh 2.70-2.71
Cu: 0.2497 0.5002 0.5002  2 Cu 2.49, 8 Rh 2.70-2.71
Y: 0.0000 0.0000 0.0000  12 Rh 2.86-3.09
Rh: 0.6955 0.0004 0.6090  4 Rh 2.60-2.69, 4 Cu 2.70-2.71, 1 Y 2.86
Rh: 0.6955 0.6090 0.0004  4 Rh 2.60-2.69, 4 Cu 2.70-2.71, 1 Y 2.86
Rh: 0.3045 0.9996 0.3910  4 Rh 2.60-2.69, 4 Cu 2.70-2.71, 1 Y 2.86
Rh: 0.3045 0.3910 0.9996  4 Rh 2.60-2.69, 4 Cu 2.70-2.71, 1 Y 2.86


9.
The following is a DFT calculation (PBE) of Y2CuRh2 after structural relaxation.

Results
Distance to the lowest polymorph of the same formula: 0.446 eV/atom
Symmetry: I4/mmm (139)
Total moment: 0.0 μB per formula unit

Unit cell a=3.7387 b=3.7387 c=8.1663 alpha=76.77 beta=76.77 gamma=90.00
With the nearest neighbours (Å) after each atom.
Fractional coordinates of all 5 atoms:
Rh: 0.2500 0.7500 0.5000  4 Rh 2.64, 4 Y 2.85
Rh: 0.7500 0.2500 0.5000  4 Rh 2.64, 4 Y 2.85
Y: 0.6104 0.6104 0.7792  4 Rh 2.85, 4 Cu 3.15
Y: 0.3896 0.3896 0.2208  4 Rh 2.85, 4 Cu 3.15
Cu: 0.0000 0.0000 0.0000  8 Y 3.15


10.
The following is a DFT calculation (PBE) of YCuRh after structural relaxation.

Results
Symmetry: F-43m (216)
Total moment: 0.0 μB per formula unit

Unit cell a=4.5129 b=4.5129 c=4.5129 alpha=60.00 beta=60.00 gamma=60.00
With the nearest neighbours (Å) after each atom.
Fractional coordinates of all 3 atoms:
Cu: 0.0000 0.0000 0.0000  4 Y 2.76
Rh: 0.5000 0.5000 0.5000  4 Y 2.76
Y: 0.2500 0.2500 0.2500  4 Rh 2.76, 4 Cu 2.76


11.
The following is a DFT calculation (PBE) of YCuRh after structural relaxation.

Results
Symmetry: I4mm (107)
Total moment: 0.0 μB per formula unit

Unit cell a=5.1752 b=5.1756 c=3.4357 alpha=70.61 beta=70.62 gamma=38.77
With the nearest neighbours (Å) after each atom.
Fractional coordinates of all 3 atoms:
Y: 0.6696 0.6696 0.3304  5 Cu 2.86-2.97, 5 Rh 2.92-2.94
Cu: 0.9825 0.9825 0.0175  4 Rh 2.72, 5 Y 2.86-2.97
Rh: 0.3479 0.3479 0.6521  4 Cu 2.72, 5 Y 2.92-2.94


12.
The following is a DFT calculation (PBE) of YCu2Rh after structural relaxation.

Results
Distance to the lowest polymorph of the same formula: 0.102 eV/atom
Symmetry: Fm-3m (225)
Total moment: 0.0 μB per formula unit

Unit cell a=4.5296 b=4.5296 c=4.5296 alpha=60.00 beta=60.00 gamma=60.00
With the nearest neighbours (Å) after each atom.
Fractional coordinates of all 4 atoms:
Y: 0.0000 0.0000 0.0000  8 Cu 2.77
Cu: 0.7500 0.7500 0.7500  4 Rh 2.77, 4 Y 2.77
Cu: 0.2500 0.2500 0.2500  4 Rh 2.77, 4 Y 2.77
Rh: 0.5000 0.5000 0.5000  8 Cu 2.77


Energy of formation? In order: 0.73; 0.65; 0.07; 0.36; 0.23; -0.31; 0.37; -0.19; -0.22; 0.18; -0.39; -0.24 eV/atom.